1.
The following is a DFT calculation (PBE-GGA) of Ti6BSb2 after structural relaxation.

Calculated values
E: -7.459 eV/atom
Formation energy (no corrections): -0.54 eV per atom
Volume: 16.82 Å³ per atom
Magnetic moment: 0.000 μB/f.u.

a = 3.5233 Å, b = 7.0437 Å, c = 7.0438 Å
α = 120.00°, β = 90.00°, γ = 90.00°
With the nearest neighbours (Å) after each atom.
Atoms (fractional coordinates):
Ti 0.5000 0.6263 0.0000  1 B 2.63, 4 Sb 2.83, 4 Ti 2.89
Ti 0.5000 0.3737 0.3737  1 B 2.63, 4 Sb 2.83, 4 Ti 2.89
Ti 0.5000 0.0000 0.6263  1 B 2.63, 4 Sb 2.83, 4 Ti 2.89
Ti 0.0000 0.2232 0.0000  2 B 2.36
Ti 0.0000 0.7768 0.7768  2 B 2.36
Ti 0.0000 0.0000 0.2232  2 B 2.36
B 0.5000 0.0000 0.0000  9 Ti 2.36-2.63
Sb 0.0000 0.3333 0.6666  9 Ti 2.82-2.83
Sb 0.0000 0.6667 0.3334  9 Ti 2.82-2.83

***

2.
The following is a DFT calculation (PBE-GGA) of PrPdAu after structural relaxation.

Calculated values
E: -5.169 eV/atom
Distance to the lowest polymorph of the same formula: 16 meV/atom
Volume: 22.61 Å³ per atom
Calculated formation energy: -753 meV/atom
Magnetic moment: 0.000 μB/f.u.

a = 5.6327 Å, b = 6.6873 Å, c = 7.6986 Å
α = 110.64°, β = 90.00°, γ = 90.00°
With the nearest neighbours (Å) after each atom.
Atoms (fractional coordinates):
Pr 0.8765 0.2961 0.1235  5 Pd 2.95-3.17, 4 Au 3.15-3.28
Pr 0.3765 0.7039 0.3765  5 Pd 2.95-3.17, 4 Au 3.15-3.28
Pr 0.1235 0.7039 0.8765  5 Pd 2.95-3.17, 4 Au 3.15-3.28
Pr 0.6235 0.2961 0.6235  5 Pd 2.95-3.17, 4 Au 3.15-3.28
Pd 0.1415 0.3341 0.4871  1 Pd 2.68, 3 Au 2.74-2.89, 1 Pr 2.95
Pd 0.6415 0.6659 0.0129  1 Pd 2.68, 3 Au 2.74-2.89, 1 Pr 2.95
Pd 0.8585 0.6659 0.5129  1 Pd 2.68, 3 Au 2.74-2.89, 1 Pr 2.95
Pd 0.3585 0.3341 0.9871  1 Pd 2.68, 3 Au 2.74-2.89, 1 Pr 2.95
Au 0.9164 0.9261 0.2967  3 Pd 2.74-2.89
Au 0.4164 0.0739 0.2033  3 Pd 2.74-2.89
Au 0.0836 0.0739 0.7033  3 Pd 2.74-2.89
Au 0.5836 0.9261 0.7967  3 Pd 2.74-2.89

***

3.
The following is a DFT calculation (PBE-GGA) of NiPt6W2 after structural relaxation.

Calculated values
E: -7.554 eV/atom
Volume: 15.91 Å³ per atom
Calculated formation energy: -6 meV/atom
Magnetic moment: 0.000 μB/f.u.

a = 2.7534 Å, b = 13.7514 Å, c = 7.9667 Å
α = 149.66°, β = 99.95°, γ = 90.00°
With the nearest neighbours (Å) after each atom.
Atoms (fractional coordinates):
Ni 0.0000 0.5000 0.0000  2 Ni 2.75, 4 W 2.78, 8 Pt 2.99
Pt 0.3277 0.4956 0.6553  1 W 2.56, 5 Pt 2.61-2.86
Pt 0.6723 0.5044 0.3447  1 W 2.56, 5 Pt 2.61-2.86
Pt 0.6723 0.8402 0.3447  1 W 2.56, 5 Pt 2.61-2.86
Pt 0.5000 0.1421 0.0000  8 Pt 2.75-2.92, 4 W 2.75
Pt 0.5000 0.8579 0.0000  8 Pt 2.75-2.92, 4 W 2.75
Pt 0.3277 0.1598 0.6553  1 W 2.56, 5 Pt 2.61-2.86
W 0.1808 0.1808 0.3616  6 Pt 2.56-2.75, 3 W 2.73-2.75, 2 Ni 2.78
W 0.8192 0.8192 0.6384  6 Pt 2.56-2.75, 3 W 2.73-2.75, 2 Ni 2.78